1.
Crystalline RbNaTi2O at its relaxed geometry, computed with PBE.

Unit cell a=5.688 b=5.688 c=4.263 alpha=90.00 beta=90.00 gamma=90.00
Space group P4/mmm (No. 123)
Symmetry-distinct sites (fractional):
Rb (0.000, 0.000, 0.000)
Na (0.500, 0.500, 0.500)
Ti (0.000, 0.500, 0.500)
O (0.500, 0.500, 0.000)

The total energy comes out at -3.4011 eV/atom. The uncorrected formation energy comes out at 1.21 eV per atom. The density of states at the Fermi level comes out at 8.59 states/eV/f.u.


2.
Crystalline Dy8Tm2Tl at its relaxed geometry, computed with PBE.

Unit cell a=11.166 b=4.905 c=12.569 alpha=90.00 beta=104.88 gamma=90.00
Space group C2/m (No. 12)
Symmetry-distinct sites (fractional):
Dy (0.039, 0.000, 0.322)
Dy (0.092, 0.500, 0.138)
Dy (0.138, 0.000, 0.953)
Dy (0.237, 0.000, 0.588)
Tm (0.186, 0.500, 0.767)
Tl (0.000, 0.500, 0.500)

The total energy comes out at -4.4066 eV/atom. For the formation energy, the calculation gives -0.032 eV/atom. For the polymorph energy (0 for the lowest one), the calculation gives 0.000 eV/atom. The density of states at the Fermi level comes out at 14.66 states/eV/f.u.


3.
Crystalline LiGa at its relaxed geometry, computed with PBE.

Unit cell a=9.204 b=9.204 c=4.493 alpha=90.00 beta=90.00 gamma=90.00
Space group I4/mcm (No. 140)
Symmetry-distinct sites (fractional):
Li (0.099, 0.401, 0.000)
Ga (0.197, 0.303, 0.500)

The total energy comes out at -2.4368 eV/atom. For the formation energy, the calculation gives 0.034 eV/atom. The density of states at the Fermi level comes out at 0.83 states/eV/f.u.


4.
Crystalline K3RbO6 at its relaxed geometry, computed with PBE.

Unit cell a=13.6039 b=13.6039 c=7.9095 alpha=90.00 beta=90.00 gamma=120.00
Space group R-3c (No. 167, hexagonal axes)
Symmetry-distinct sites (fractional):
K (0.0000, 0.4835, 0.2500)
Rb (0.0000, 0.0000, 0.0000)
O (0.0317, 0.2039, 0.3250)

The total energy comes out at -4.3287 eV/atom. The uncorrected formation energy comes out at -0.93 eV per atom. The density of states at the Fermi level comes out at 10.91 states/eV/f.u.


5.
Crystalline AcHoB12 at its relaxed geometry, computed with PBE.

Unit cell a=4.150 b=4.150 c=8.292 alpha=90.00 beta=90.00 gamma=90.00
Space group P4/mmm (No. 123)
Symmetry-distinct sites (fractional):
Ac (0.000, 0.000, 0.000)
Ho (0.000, 0.000, 0.500)
B (0.200, 0.500, 0.255)
B (0.500, 0.500, 0.102)
B (0.500, 0.500, 0.402)

The total energy comes out at -6.8016 eV/atom. For the formation energy, the calculation gives -0.458 eV/atom. The density of states at the Fermi level comes out at 1.32 states/eV/f.u.


6.
Crystalline SrYCd2 at its relaxed geometry, computed with PBE.

Unit cell a=3.8423 b=3.8423 c=30.6585 alpha=90.00 beta=90.00 gamma=120.00
Space group R3m (No. 160, hexagonal axes)
Symmetry-distinct sites (fractional):
Sr (0.0000, 0.0000, 0.0000)
Y (0.0000, 0.0000, 0.7743)
Cd (0.0000, 0.0000, 0.2488)
Cd (0.0000, 0.0000, 0.5164)

The total energy comes out at -2.4972 eV/atom. For the formation energy, the calculation gives -0.003 eV/atom. The density of states at the Fermi level comes out at 4.37 states/eV/f.u.


7.
Crystalline Cr2SnTe2 at its relaxed geometry, computed with PBE.

Unit cell a=8.488 b=8.488 c=3.459 alpha=90.00 beta=90.00 gamma=90.00
Space group P4/mbm (No. 127)
Symmetry-distinct sites (fractional):
Cr (0.080, 0.420, 0.000)
Sn (0.000, 0.000, 0.500)
Te (0.163, 0.663, 0.500)

The total energy comes out at -5.3996 eV/atom. The uncorrected formation energy comes out at 0.51 eV per atom. For the polymorph energy (0 for the lowest one), the calculation gives 0.312 eV/atom. The density of states at the Fermi level comes out at 3.82 states/eV/f.u.


8.
Crystalline Ir2PtN10Cl10 at its relaxed geometry, computed with PBE.

Unit cell a=11.802 b=11.572 c=10.090 alpha=90.00 beta=102.18 gamma=90.00
Space group C2/m (No. 12)
Symmetry-distinct sites (fractional):
Ir (0.148, 0.000, 0.217)
Pt (0.000, 0.500, 0.000)
N (0.108, 0.139, 0.099)
N (0.185, 0.108, 0.385)
N (0.197, 0.500, 0.808)
Cl (0.000, 0.188, 0.000)
Cl (0.049, 0.000, 0.756)
Cl (0.086, 0.500, 0.227)
Cl (0.187, 0.500, 0.973)
Cl (0.201, 0.000, 0.483)

The total energy comes out at -4.4143 eV/atom. The uncorrected formation energy comes out at 1.04 eV per atom. The density of states at the Fermi level comes out at 5.77 states/eV/f.u.


9.
Crystalline RbTl5In at its relaxed geometry, computed with PBE.

Unit cell a=4.801 b=4.801 c=11.054 alpha=90.00 beta=90.00 gamma=90.00
Space group P4/mmm (No. 123)
Symmetry-distinct sites (fractional):
Rb (0.000, 0.000, 0.000)
Tl (0.000, 0.000, 0.500)
Tl (0.000, 0.500, 0.278)
In (0.500, 0.500, 0.500)

The total energy comes out at -2.2427 eV/atom. For the formation energy, the calculation gives -0.023 eV/atom. For the polymorph energy (0 for the lowest one), the calculation gives 0.000 eV/atom. The density of states at the Fermi level comes out at 2.49 states/eV/f.u.


10.
Crystalline Na3HfAs at its relaxed geometry, computed with PBE.

Unit cell a=5.468 b=5.468 c=5.468 alpha=90.00 beta=90.00 gamma=90.00
Space group Pm-3m (No. 221)
Symmetry-distinct sites (fractional):
Na (0.000, 0.000, 0.500)
Hf (0.500, 0.500, 0.500)
As (0.000, 0.000, 0.000)

The total energy comes out at -2.9560 eV/atom. For the formation energy, the calculation gives 0.756 eV/atom. For the polymorph energy (0 for the lowest one), the calculation gives 0.000 eV/atom. The density of states at the Fermi level comes out at 2.95 states/eV/f.u.


11.
Crystalline ZrReSe at its relaxed geometry, computed with PBE.

Unit cell a=3.0714 b=3.0714 c=6.6410 alpha=90.00 beta=90.00 gamma=120.00
Space group P3m1 (No. 156)
Symmetry-distinct sites (fractional):
Zr (0.0000, 0.0000, 0.0000)
Re (0.6667, 0.3333, 0.3691)
Se (0.3333, 0.6667, 0.6413)

The total energy comes out at -8.0148 eV/atom. The uncorrected formation energy comes out at 0.15 eV per atom. For the polymorph energy (0 for the lowest one), the calculation gives 0.326 eV/atom. The density of states at the Fermi level comes out at 2.37 states/eV/f.u.


12.
Crystalline LiInNi2 at its relaxed geometry, computed with PBE.

Unit cell a=9.380 b=2.897 c=4.398 alpha=90.00 beta=109.09 gamma=90.00
Space group Cm (No. 8)
Symmetry-distinct sites (fractional):
Li (0.000, 0.000, 0.000)
In (0.279, 0.500, 0.331)
Ni (0.030, 0.500, 0.528)
Ni (0.245, 0.000, 0.810)

The total energy comes out at -4.1145 eV/atom. For the formation energy, the calculation gives -0.061 eV/atom. The density of states at the Fermi level comes out at 2.65 states/eV/f.u.


Q: Number 8 is which compound?
A: Ir2PtN10Cl10